# 1
{"formula": "MoPtC2", "functional": "GGA-PBE", "state": "relaxed", "lattice": [[0.0000, 2.7546, 2.7546], [2.7546, 0.0000, 2.7546], [2.7546, 2.7546, 0.0000]], "species": ["Mo", "Pt", "C", "C"], "frac_coords": [[0.0000, 0.0000, 0.0000], [0.5000, 0.5000, 0.5000], [0.2500, 0.2500, 0.2500], [0.7500, 0.7500, 0.7500]], "magnetic_moment_mub_per_fu": 0.00, "crystal_system": "cubic", "density_g_cm3": 12.51, "formation_enthalpy_0k_mev_per_atom": 1306.4, "relative_energy_mev_per_atom": 666, "energy_ev_per_atom": -7.52}

---

# 2
{"formula": "MoPt2C", "functional": "GGA-PBE", "state": "relaxed", "lattice": [[-2.5261, 2.5261, 5.4023], [2.5261, -2.5261, 5.4023], [2.5261, 2.5261, -5.4023]], "species": ["Mo", "Mo", "Pt", "Pt", "Pt", "Pt", "C", "C"], "frac_coords": [[0.0000, 0.0000, 0.0000], [0.7500, 0.2500, 0.5000], [0.2060, 0.6250, 0.0810], [0.3750, 0.4560, 0.5810], [0.5440, 0.1250, 0.9190], [0.8750, 0.7940, 0.4190], [0.2500, 0.7500, 0.5000], [0.5000, 0.5000, 0.0000]], "magnetic_moment_mub_per_fu": 0.00, "crystal_system": "tetragonal", "density_g_cm3": 12.00, "formation_enthalpy_0k_mev_per_atom": 843.8, "energy_ev_per_atom": -7.19}

---

# 3
{"formula": "Mo2Pt2C", "functional": "GGA-PBE", "state": "relaxed", "lattice": [[5.5811, 0.0000, 0.0000], [0.0000, 5.5811, 0.0000], [0.0000, 0.0000, 4.7426]], "species": ["Mo", "Mo", "Mo", "Mo", "Pt", "Pt", "Pt", "Pt", "C", "C"], "frac_coords": [[0.1532, 0.3468, 0.0000], [0.3468, 0.8468, 0.0000], [0.6532, 0.1532, 0.0000], [0.8468, 0.6532, 0.0000], [0.1724, 0.6724, 0.5000], [0.3276, 0.1724, 0.5000], [0.6724, 0.8276, 0.5000], [0.8276, 0.3276, 0.5000], [0.0000, 0.0000, 0.5000], [0.5000, 0.5000, 0.5000]], "magnetic_moment_mub_per_fu": 0.00, "crystal_system": "tetragonal", "density_g_cm3": 13.36, "formation_enthalpy_0k_mev_per_atom": 714.8, "relative_energy_mev_per_atom": 0, "energy_ev_per_atom": -7.88}